Na2CdRh | PBE | optimized geometry

The structure in CIF format:
```
data_Na2CdRh
_symmetry_space_group_name_H-M 'P 1'
_symmetry_Int_Tables_number 1
_cell_length_a 2.9356
_cell_length_b 2.9356
_cell_length_c 11.2338
_cell_angle_alpha 82.49
_cell_angle_beta 82.49
_cell_angle_gamma 60.00
loop_
_symmetry_equiv_pos_as_xyz
'x,y,z'
loop_
_atom_site_label
_atom_site_fract_x
_atom_site_fract_y
_atom_site_fract_z
Cd1 0.5000 0.5000 0.5000
Na1 0.0808 0.0808 0.7576
Rh1 0.0000 0.0000 0.0000
Na2 0.9192 0.9192 0.2424
```

Properties
Density: 5.235 g/cm³
V: 82.9 Å³/cell
ΔE_f: 363 meV/atom
Total energy: -2.36 eV/atom